# LaCePuAl (PBE-GGA, relaxed)
data_LaCePuAl
_space_group_name_H-M_alt 'P 1'
_space_group_IT_number 1
_cell_length_a 5.297
_cell_length_b 5.297
_cell_length_c 5.297
_cell_angle_alpha 60.00
_cell_angle_beta 60.00
_cell_angle_gamma 60.00
loop_
_space_group_symop_operation_xyz
'x,y,z'
loop_
_atom_site_label
_atom_site_fract_x
_atom_site_fract_y
_atom_site_fract_z
Al1 0.750 0.750 0.750
La1 0.500 0.500 0.500
Pu1 0.000 0.000 0.000
Ce1 0.250 0.250 0.250
# Energy of formation, meV per atom: -1.0
# N(E_F), states/eV/f.u.: 9.9